Below is LaPm3Ho6Tm2 after structural relaxation, with properties calculated at the PBE level.

Space group: C2/m

Cell and atoms, written as POSCAR:
```
LaPm3Ho6Tm2
1.0
3.0929 -5.3548 0.0000
3.0929 5.3548 0.0000
-2.0550 0.0000 11.6371
La Pm Ho Tm
1 3 6 2
Direct
0.0000 0.0000 0.0000
0.1670 0.8330 0.5000
0.5000 0.5000 0.5000
0.8330 0.1670 0.5000
0.0833 0.4181 0.2490
0.2518 0.2518 0.7510
0.4181 0.0833 0.2490
0.5819 0.9167 0.7510
0.7482 0.7482 0.2490
0.9167 0.5819 0.7510
0.3332 0.6668 0.0000
0.6668 0.3332 0.0000
```

=====

Below is TbHo3Tm12 after structural relaxation, with properties calculated at the PBE level.

Space group: P4/mmm

Cell and atoms, written as POSCAR:
```
TbHo3Tm12
1.0
4.9397 0.0000 0.0000
0.0000 4.9397 0.0000
0.0000 0.0000 19.7544
Tb Ho Tm
1 3 12
Direct
0.0000 0.0000 0.0000
0.0000 0.0000 0.2504
0.0000 0.0000 0.5000
0.0000 0.0000 0.7496
0.0000 0.5000 0.1255
0.0000 0.5000 0.3752
0.0000 0.5000 0.6248
0.0000 0.5000 0.8745
0.5000 0.0000 0.1255
0.5000 0.0000 0.3752
0.5000 0.0000 0.6248
0.5000 0.0000 0.8745
0.5000 0.5000 0.0000
0.5000 0.5000 0.2505
0.5000 0.5000 0.5000
0.5000 0.5000 0.7495
```

=====

Below is CdSi2Se after structural relaxation, with properties calculated at the PBE level.

Space group: I4/mmm
ΔE_f (raw) (meV per atom): 445.1
Energy above the most stable polymorph in this dataset (meV per atom): 413.6

Cell and atoms, written as POSCAR:
```
CdSi2Se
1.0
-1.9020 1.9020 5.7015
1.9020 -1.9020 5.7015
1.9020 1.9020 -5.7015
Cd Si Se
1 2 1
Direct
0.0000 0.0000 0.0000
0.2500 0.7500 0.5000
0.7500 0.2500 0.5000
0.5000 0.5000 0.0000
```

=====

Total energy in eV/cell, matching the order above: -55.34 -71.62 -13.47